# MgCo4P2 GGA-PBE relaxed
# Total magnetization   0.00 μB/f.u.
# DFT formation energy   -3.38 eV/f.u.
# V   83.5 Å³/f.u.
data_MgCo4P2
_chemical_formula_sum 'Mg2 Co8 P4'
_space_group_name_H-M_alt 'P 42/m n m'
_space_group_IT_number 136
_space_group_name_Hall '-P 4n 2n'
_cell_length_a 6.951
_cell_length_b 6.951
_cell_length_c 3.454
_cell_angle_alpha 90.00
_cell_angle_beta 90.00
_cell_angle_gamma 90.00
loop_
_atom_site_label
_atom_site_type_symbol
_atom_site_fract_x
_atom_site_fract_y
_atom_site_fract_z
Mg1 Mg 0.000 0.000 0.000
Co1 Co 0.071 0.330 0.500
P1 P 0.235 0.765 0.500

***

# MgCo2P GGA-PBE relaxed
# Total magnetization   0.00 μB/f.u.
# DFT formation energy   -0.78 eV/f.u.
# V   49.7 Å³/f.u.
data_MgCo2P
_chemical_formula_sum 'Mg2 Co4 P2'
_space_group_name_H-M_alt 'I m m m'
_space_group_IT_number 71
_space_group_name_Hall '-I 2 2'
_cell_length_a 3.376
_cell_length_b 4.275
_cell_length_c 6.882
_cell_angle_alpha 90.00
_cell_angle_beta 90.00
_cell_angle_gamma 90.00
loop_
_atom_site_label
_atom_site_type_symbol
_atom_site_fract_x
_atom_site_fract_y
_atom_site_fract_z
Mg1 Mg 0.000 0.000 0.000
Co1 Co 0.000 0.500 0.200
P1 P 0.000 0.000 0.500

***

# MgCo4P GGA-PBE relaxed
# Total magnetization   6.68 μB/f.u.
# DFT formation energy   1.05 eV/f.u.
# V   76.9 Å³/f.u.
data_MgCo4P
_chemical_formula_sum 'Mg4 Co16 P4'
_space_group_name_H-M_alt 'F -4 3 m'
_space_group_IT_number 216
_space_group_name_Hall 'F -4 2 3'
_cell_length_a 6.750
_cell_length_b 6.750
_cell_length_c 6.750
_cell_angle_alpha 90.00
_cell_angle_beta 90.00
_cell_angle_gamma 90.00
loop_
_atom_site_label
_atom_site_type_symbol
_atom_site_fract_x
_atom_site_fract_y
_atom_site_fract_z
Mg1 Mg 0.000 0.000 0.000
Co1 Co 0.125 0.125 0.625
P1 P 0.250 0.250 0.250

***

# Mg2CoP GGA-PBE relaxed
# Total magnetization   0.00 μB/f.u.
# DFT formation energy   -0.91 eV/f.u.
# V   64.4 Å³/f.u.
data_Mg2CoP
_chemical_formula_sum 'Mg4 Co2 P2'
_space_group_name_H-M_alt 'C 1 m 1'
_space_group_IT_number 8
_cell_length_a 10.438
_cell_length_b 3.134
_cell_length_c 4.317
_cell_angle_alpha 90.00
_cell_angle_beta 114.29
_cell_angle_gamma 90.00
loop_
_space_group_symop_operation_xyz
'x,y,z'
'x,-y,z'
'x+1/2,y+1/2,z'
'x+1/2,-y+1/2,z'
loop_
_atom_site_label
_atom_site_type_symbol
_atom_site_fract_x
_atom_site_fract_y
_atom_site_fract_z
Mg1 Mg 0.000 0.000 0.000
Mg2 Mg 0.216 0.000 0.715
Co1 Co 0.268 0.500 0.267
P1 P 0.423 0.000 0.423

***

# MgCo2P GGA-PBE relaxed
# Total magnetization   2.64 μB/f.u.
# DFT formation energy   0.49 eV/f.u.
# V   50.4 Å³/f.u.
data_MgCo2P
_chemical_formula_sum 'Mg4 Co8 P4'
_space_group_name_H-M_alt 'F -4 3 m'
_space_group_IT_number 216
_space_group_name_Hall 'F -4 2 3'
_cell_length_a 5.864
_cell_length_b 5.864
_cell_length_c 5.864
_cell_angle_alpha 90.00
_cell_angle_beta 90.00
_cell_angle_gamma 90.00
loop_
_atom_site_label
_atom_site_type_symbol
_atom_site_fract_x
_atom_site_fract_y
_atom_site_fract_z
Mg1 Mg 0.000 0.000 0.000
Co1 Co 0.000 0.000 0.500
Co2 Co 0.250 0.250 0.750
P1 P 0.250 0.250 0.250

***

# MgCo3P2 GGA-PBE relaxed
# Total magnetization   0.00 μB/f.u.
# DFT formation energy   -3.45 eV/f.u.
# V   73.8 Å³/f.u.
data_MgCo3P2
_chemical_formula_sum 'Mg6 Co18 P12'
_space_group_name_H-M_alt 'C 1 2/m 1'
_space_group_IT_number 12
_cell_length_a 14.579
_cell_length_b 3.574
_cell_length_c 8.898
_cell_angle_alpha 90.00
_cell_angle_beta 107.32
_cell_angle_gamma 90.00
loop_
_space_group_symop_operation_xyz
'x,y,z'
'-x,-y,-z'
'-x,y,-z'
'x,-y,z'
'x+1/2,y+1/2,z'
'-x+1/2,-y+1/2,-z'
'-x+1/2,y+1/2,-z'
'x+1/2,-y+1/2,z'
loop_
_atom_site_label
_atom_site_type_symbol
_atom_site_fract_x
_atom_site_fract_y
_atom_site_fract_z
Mg1 Mg 0.000 0.000 0.000
Mg2 Mg 0.159 0.000 0.701
Co1 Co 0.000 0.500 0.500
Co2 Co 0.036 0.000 0.324
Co3 Co 0.121 0.500 0.203
Co4 Co 0.182 0.500 0.963
Co5 Co 0.217 0.000 0.394
P1 P 0.041 0.500 0.785
P2 P 0.138 0.500 0.453
P3 P 0.194 0.000 0.131

***

# Mg2CoP GGA-PBE relaxed
# Total magnetization   0.00 μB/f.u.
# DFT formation energy   0.25 eV/f.u.
# V   57.0 Å³/f.u.
data_Mg2CoP
_chemical_formula_sum 'Mg8 Co4 P4'
_space_group_name_H-M_alt 'F -4 3 m'
_space_group_IT_number 216
_space_group_name_Hall 'F -4 2 3'
_cell_length_a 6.109
_cell_length_b 6.109
_cell_length_c 6.109
_cell_angle_alpha 90.00
_cell_angle_beta 90.00
_cell_angle_gamma 90.00
loop_
_atom_site_label
_atom_site_type_symbol
_atom_site_fract_x
_atom_site_fract_y
_atom_site_fract_z
Mg1 Mg 0.000 0.000 0.000
Mg2 Mg 0.250 0.250 0.250
Co1 Co 0.000 0.000 0.500
P1 P 0.250 0.250 0.750

***

# MgCo2P GGA-PBE relaxed
# Total magnetization   1.23 μB/f.u.
# DFT formation energy   -1.31 eV/f.u.
# V   53.0 Å³/f.u.
data_MgCo2P
_chemical_formula_sum 'Mg2 Co4 P2'
_space_group_name_H-M_alt 'P 4/n m m'
_space_group_IT_number 129
_cell_length_a 3.549
_cell_length_b 3.549
_cell_length_c 8.410
_cell_angle_alpha 90.00
_cell_angle_beta 90.00
_cell_angle_gamma 90.00
loop_
_space_group_symop_operation_xyz
'x,y,z'
'-x,-y,-z'
'-y+1/2,x,z'
'y+1/2,-x,-z'
'-x+1/2,-y+1/2,z'
'x+1/2,y+1/2,-z'
'y,-x+1/2,z'
'-y,x+1/2,-z'
'x+1/2,-y,-z'
'-x+1/2,y,z'
'-y,-x,-z'
'y,x,z'
'-x,y+1/2,-z'
'x,-y+1/2,z'
'y+1/2,x+1/2,-z'
'-y+1/2,-x+1/2,z'
loop_
_atom_site_label
_atom_site_type_symbol
_atom_site_fract_x
_atom_site_fract_y
_atom_site_fract_z
Mg1 Mg 0.250 0.250 0.228
Co1 Co 0.250 0.250 0.924
Co2 Co 0.250 0.750 0.500
P1 P 0.250 0.250 0.661

***

# MgCo2P GGA-PBE relaxed
# Total magnetization   0.00 μB/f.u.
# DFT formation energy   -0.24 eV/f.u.
# V   56.2 Å³/f.u.
data_MgCo2P
_chemical_formula_sum 'Mg4 Co8 P4'
_space_group_name_H-M_alt 'I -4 2 d'
_space_group_IT_number 122
_space_group_name_Hall 'I -4 2bw'
_cell_length_a 6.559
_cell_length_b 6.559
_cell_length_c 5.225
_cell_angle_alpha 90.00
_cell_angle_beta 90.00
_cell_angle_gamma 90.00
loop_
_atom_site_label
_atom_site_type_symbol
_atom_site_fract_x
_atom_site_fract_y
_atom_site_fract_z
Mg1 Mg 0.000 0.000 0.000
Co1 Co 0.172 0.250 0.625
P1 P 0.000 0.000 0.500

***

# Mg2Co2P GGA-PBE relaxed
# Total magnetization   0.00 μB/f.u.
# DFT formation energy   -1.48 eV/f.u.
# V   70.0 Å³/f.u.
data_Mg2Co2P
_chemical_formula_sum 'Mg4 Co4 P2'
_space_group_name_H-M_alt 'P 4/m b m'
_space_group_IT_number 127
_space_group_name_Hall '-P 4 2ab'
_cell_length_a 5.740
_cell_length_b 5.740
_cell_length_c 4.250
_cell_angle_alpha 90.00
_cell_angle_beta 90.00
_cell_angle_gamma 90.00
loop_
_atom_site_label
_atom_site_type_symbol
_atom_site_fract_x
_atom_site_fract_y
_atom_site_fract_z
Mg1 Mg 0.168 0.332 0.000
Co1 Co 0.151 0.651 0.500
P1 P 0.000 0.000 0.500

***

# Mg2CoP GGA-PBE relaxed
# Total magnetization   0.00 μB/f.u.
# DFT formation energy   -0.87 eV/f.u.
# V   63.7 Å³/f.u.
data_Mg2CoP
_chemical_formula_sum 'Mg2 Co1 P1'
_space_group_name_H-M_alt 'P 4 m m'
_space_group_IT_number 99
_cell_length_a 2.997
_cell_length_b 2.997
_cell_length_c 7.098
_cell_angle_alpha 90.00
_cell_angle_beta 90.00
_cell_angle_gamma 90.00
loop_
_space_group_symop_operation_xyz
'x,y,z'
'-y,x,z'
'-x,-y,z'
'y,-x,z'
'-x,y,z'
'y,x,z'
'x,-y,z'
'-y,-x,z'
loop_
_atom_site_label
_atom_site_type_symbol
_atom_site_fract_x
_atom_site_fract_y
_atom_site_fract_z
Mg1 Mg 0.000 0.000 0.000
Mg2 Mg 0.500 0.500 0.340
Co1 Co 0.500 0.500 0.731
P1 P 0.000 0.000 0.608

***

# Mg2CoP GGA-PBE relaxed
# Total magnetization   0.73 μB/f.u.
# DFT formation energy   0.01 eV/f.u.
# V   58.6 Å³/f.u.
data_Mg2CoP
_chemical_formula_sum 'Mg4 Co2 P2'
_space_group_name_H-M_alt 'I 4/m m m'
_space_group_IT_number 139
_space_group_name_Hall '-I 4 2'
_cell_length_a 3.810
_cell_length_b 3.810
_cell_length_c 8.071
_cell_angle_alpha 90.00
_cell_angle_beta 90.00
_cell_angle_gamma 90.00
loop_
_atom_site_label
_atom_site_type_symbol
_atom_site_fract_x
_atom_site_fract_y
_atom_site_fract_z
Mg1 Mg 0.000 0.500 0.250
Co1 Co 0.000 0.000 0.000
P1 P 0.000 0.000 0.500

***

# MgCo2P GGA-PBE relaxed
# Total magnetization   0.99 μB/f.u.
# DFT formation energy   -0.53 eV/f.u.
# V   51.5 Å³/f.u.
data_MgCo2P
_chemical_formula_sum 'Mg2 Co4 P2'
_space_group_name_H-M_alt 'C 1 m 1'
_space_group_IT_number 8
_cell_length_a 8.223
_cell_length_b 2.947
_cell_length_c 4.510
_cell_angle_alpha 90.00
_cell_angle_beta 109.63
_cell_angle_gamma 90.00
loop_
_space_group_symop_operation_xyz
'x,y,z'
'x,-y,z'
'x+1/2,y+1/2,z'
'x+1/2,-y+1/2,z'
loop_
_atom_site_label
_atom_site_type_symbol
_atom_site_fract_x
_atom_site_fract_y
_atom_site_fract_z
Mg1 Mg 0.000 0.000 0.000
Co1 Co 0.232 0.000 0.764
Co2 Co 0.461 0.000 0.447
P1 P 0.250 0.500 0.421

***

# MgCo2P GGA-PBE relaxed
# Total magnetization   0.00 μB/f.u.
# DFT formation energy   -0.64 eV/f.u.
# V   46.3 Å³/f.u.
data_MgCo2P
_chemical_formula_sum 'Mg1 Co2 P1'
_space_group_name_H-M_alt 'P 4/m m m'
_space_group_IT_number 123
_space_group_name_Hall '-P 4 2'
_cell_length_a 3.788
_cell_length_b 3.788
_cell_length_c 3.223
_cell_angle_alpha 90.00
_cell_angle_beta 90.00
_cell_angle_gamma 90.00
loop_
_atom_site_label
_atom_site_type_symbol
_atom_site_fract_x
_atom_site_fract_y
_atom_site_fract_z
Mg1 Mg 0.000 0.000 0.000
Co1 Co 0.000 0.500 0.500
P1 P 0.500 0.500 0.000

***

# MgCo2P GGA-PBE relaxed
# Total magnetization   0.00 μB/f.u.
# DFT formation energy   -0.70 eV/f.u.
# V   50.8 Å³/f.u.
data_MgCo2P
_chemical_formula_sum 'Mg1 Co2 P1'
_space_group_name_H-M_alt 'P 1 2/m 1'
_space_group_IT_number 10
_cell_length_a 2.809
_cell_length_b 3.292
_cell_length_c 5.605
_cell_angle_alpha 90.00
_cell_angle_beta 101.59
_cell_angle_gamma 90.00
loop_
_space_group_symop_operation_xyz
'x,y,z'
'-x,-y,-z'
'-x,y,-z'
'x,-y,z'
loop_
_atom_site_label
_atom_site_type_symbol
_atom_site_fract_x
_atom_site_fract_y
_atom_site_fract_z
Mg1 Mg 0.000 0.000 0.000
Co1 Co 0.372 0.500 0.704
P1 P 0.000 0.000 0.500

***

# Mg2CoP GGA-PBE relaxed
# Total magnetization   1.29 μB/f.u.
# DFT formation energy   0.62 eV/f.u.
# V   63.8 Å³/f.u.
data_Mg2CoP
_chemical_formula_sum 'Mg6 Co3 P3'
_space_group_name_H-M_alt 'R -3 m'
_space_group_IT_number 166
_space_group_name_Hall '-R 3 2"'
_cell_length_a 2.9622
_cell_length_b 2.9622
_cell_length_c 25.2031
_cell_angle_alpha 90.00
_cell_angle_beta 90.00
_cell_angle_gamma 120.00
loop_
_atom_site_label
_atom_site_type_symbol
_atom_site_fract_x
_atom_site_fract_y
_atom_site_fract_z
Mg1 Mg 0.0000 0.0000 0.2459
Co1 Co 0.0000 0.0000 0.5000
P1 P 0.0000 0.0000 0.0000

***

# Mg2CoP GGA-PBE relaxed
# Total magnetization   1.08 μB/f.u.
# DFT formation energy   1.16 eV/f.u.
# V   67.6 Å³/f.u.
data_Mg2CoP
_chemical_formula_sum 'Mg8 Co4 P4'
_space_group_name_H-M_alt 'I -4 2 d'
_space_group_IT_number 122
_space_group_name_Hall 'I -4 2bw'
_cell_length_a 7.261
_cell_length_b 7.261
_cell_length_c 5.133
_cell_angle_alpha 90.00
_cell_angle_beta 90.00
_cell_angle_gamma 90.00
loop_
_atom_site_label
_atom_site_type_symbol
_atom_site_fract_x
_atom_site_fract_y
_atom_site_fract_z
Mg1 Mg 0.230 0.750 0.125
Co1 Co 0.000 0.000 0.500
P1 P 0.000 0.000 0.000

***

# Mg2Co5P3 GGA-PBE relaxed
# Total magnetization   0.85 μB/f.u.
# DFT formation energy   -4.89 eV/f.u.
# V   120.8 Å³/f.u.
data_Mg2Co5P3
_chemical_formula_sum 'Mg8 Co20 P12'
_space_group_name_H-M_alt 'C m c 21'
_space_group_IT_number 36
_cell_length_a 3.659
_cell_length_b 21.823
_cell_length_c 6.050
_cell_angle_alpha 90.00
_cell_angle_beta 90.00
_cell_angle_gamma 90.00
loop_
_space_group_symop_operation_xyz
'x,y,z'
'-x,-y,z+1/2'
'-x,y,z'
'x,-y,z+1/2'
'x+1/2,y+1/2,z'
'-x+1/2,-y+1/2,z+1/2'
'-x+1/2,y+1/2,z'
'x+1/2,-y+1/2,z+1/2'
loop_
_atom_site_label
_atom_site_type_symbol
_atom_site_fract_x
_atom_site_fract_y
_atom_site_fract_z
Mg1 Mg 0.000 0.021 0.000
Mg2 Mg 0.000 0.325 0.016
Co1 Co 0.000 0.096 0.372
Co2 Co 0.000 0.207 0.830
Co3 Co 0.000 0.212 0.238
Co4 Co 0.000 0.372 0.523
Co5 Co 0.000 0.443 0.159
P1 P 0.000 0.110 0.748
P2 P 0.000 0.270 0.537
P3 P 0.000 0.454 0.786

***

# Mg3CoP GGA-PBE relaxed
# Total magnetization   0.01 μB/f.u.
# DFT formation energy   2.53 eV/f.u.
# Polymorph energy (0 for the lowest one)   0.44 eV per formula unit
# V   104.0 Å³/f.u.
data_Mg3CoP
_chemical_formula_sum 'Mg3 Co1 P1'
_space_group_name_H-M_alt 'P m -3 m'
_space_group_IT_number 221
_space_group_name_Hall '-P 4 2 3'
_cell_length_a 4.702
_cell_length_b 4.702
_cell_length_c 4.702
_cell_angle_alpha 90.00
_cell_angle_beta 90.00
_cell_angle_gamma 90.00
loop_
_atom_site_label
_atom_site_type_symbol
_atom_site_fract_x
_atom_site_fract_y
_atom_site_fract_z
Mg1 Mg 0.000 0.000 0.500
Co1 Co 0.000 0.000 0.000
P1 P 0.500 0.500 0.500

***

# Mg2CoP GGA-PBE relaxed
# Total magnetization   0.84 μB/f.u.
# DFT formation energy   -0.15 eV/f.u.
# V   60.6 Å³/f.u.
data_Mg2CoP
_chemical_formula_sum 'Mg2 Co1 P1'
_space_group_name_H-M_alt 'P m m m'
_space_group_IT_number 47
_cell_length_a 3.266
_cell_length_b 3.424
_cell_length_c 5.418
_cell_angle_alpha 90.00
_cell_angle_beta 90.00
_cell_angle_gamma 90.00
loop_
_space_group_symop_operation_xyz
'x,y,z'
'-x,-y,-z'
'-x,-y,z'
'x,y,-z'
'x,-y,-z'
'-x,y,z'
'-x,y,-z'
'x,-y,z'
loop_
_atom_site_label
_atom_site_type_symbol
_atom_site_fract_x
_atom_site_fract_y
_atom_site_fract_z
Mg1 Mg 0.000 0.000 0.246
Co1 Co 0.500 0.500 0.000
P1 P 0.500 0.500 0.500